## ThMoC2 (PBE-GGA)

Data for crystalline ThMoC2 at its relaxed geometry.

Calculated values
space-group type = R-3m (166)
total magnetic moment = 0.00 μB per cell
formation enthalpy at 0 K = -4.1 kJ/mol of atoms

The structure in POSCAR format:
```
ThMoC2
1.0
-3.3175 -0.0402 0.3701
-1.9119 -1.5572 -2.2504
-1.3481 -5.3750 2.3884
Mo C Th
1 2 1
Direct
0.0000 0.0000 0.0000
0.2658 0.2658 0.2026
0.7342 0.7342 0.7974
0.5000 0.5000 0.5000
```